Below is a relaxed structure of Nb3AgI, with properties calculated at the PBE level.

Values from the calculation:
The formation energy without anion corrections comes out at 172.5 kJ/mol of atoms. The total energy comes out at -25.67 eV/cell. As for the polymorph energy (0 for the lowest one): 0.21 eV per formula unit.

abc: 5.0175 5.0175 5.0175
angles: 90.00 90.00 90.00
With the nearest neighbours (Å) after each atom.
Space group Pm-3m (No. 221)
Inequivalent atoms, fractional coordinates:
Nb 0.0000 0.0000 0.5000  2 Ag 2.51
Ag 0.0000 0.0000 0.0000  6 Nb 2.51
I 0.5000 0.5000 0.5000  12 Nb 3.55